GGA+U VCdBiO5, optimized geometry; E above lowest polymorph = 60.3 meV per atom; final energy = -0.225 Ha/atom; space-group type = C2/c (15); M_tot = 0.0 μB/f.u.
1.0
3.594 -5.436 0.000
3.594 5.436 0.000
-3.256 0.000 6.405
V Cd Bi O
2 2 2 10
Cartesian
1.152 3.521 4.804 V
2.780 -3.521 1.601 V
3.594 0.000 0.000 Cd
1.966 0.000 3.203 Cd
2.780 3.128 1.601 Bi
1.152 -3.128 4.804 Bi
-0.161 0.933 2.816 O
-0.159 2.551 5.634 O
-1.790 -0.933 6.019 O
2.462 2.551 3.974 O
2.780 1.073 1.601 O
1.152 -1.073 4.804 O
1.469 -2.551 2.432 O
5.721 0.933 0.387 O
4.090 -2.551 0.771 O
4.093 -0.933 3.589 O